## Pr2Ga3Hg (GGA-PBE)

Data for a geometry-optimized Pr2Ga3Hg structure.

Properties
The total magnetic moment comes out at 0.00 μB per cell. The raw total energy comes out at -3.741 eV/atom. As for the density of states at the Fermi level: 4.05 states/eV/f.u. For the formation energy, the calculation gives -3.5 eV per formula unit.

a = 4.135 Å, b = 4.532 Å, c = 15.630 Å
α = 90.00°, β = 90.00°, γ = 90.00°
Space group Imm2 (No. 44)
Unique sites:
Pr1 0.000 0.000 0.000 x2
Pr2 0.000 0.500 0.272 x2
Ga1 0.000 0.000 0.428 x2
Ga2 0.000 0.500 0.683 x2
Ga3 0.000 0.500 0.843 x2
Hg1 0.000 0.000 0.597 x2

---

## KRbTlCd (GGA-PBE)

Data for a geometry-optimized KRbTlCd structure.

Properties
The total magnetic moment comes out at 0.01 μB per cell. The raw total energy comes out at -1.319 eV/atom. As for the density of states at the Fermi level: 5.01 states/eV/f.u. For the formation energy, the calculation gives 0.1 eV per formula unit.

a = 8.443 Å, b = 8.443 Å, c = 8.443 Å
α = 90.00°, β = 90.00°, γ = 90.00°
Space group F-43m (No. 216)
Unique sites:
K1 0.000 0.000 0.000 x4
Rb1 0.250 0.250 0.750 x4
Tl1 0.250 0.250 0.250 x4
Cd1 0.000 0.000 0.500 x4

---

> The lowest total magnetic moment belongs to which entry?

Pr2Ga3Hg